No. 1
Compound: KMg2Au
Source: Alexandria via LeMat-Bulk
Functional: PBE-GGA
Structure: optimized geometry

abc: 12.6206 3.4295 5.7298
angles: 90.00 116.90 90.00
Space group C2/m (No. 12)
Symmetry-distinct sites (fractional):
K: 0.0000 0.0000 0.0000
Mg: 0.1936 0.0000 0.6916
Au: 0.0000 0.5000 0.5000

## Properties
The calculation puts the formation energy at -149.0 meV per atom. As for the calculated volume: 221.16 Å³/cell. The calculation puts the calculated density at 4.27 g/cm³. Its total DFT energy (no corrections) is -2.040 eV/atom. As for the density of states at the Fermi level: 2.926 states/eV per cell.

---

No. 2
Compound: K4MgAu3
Source: Alexandria via LeMat-Bulk
Functional: PBE-GGA
Structure: optimized geometry

abc: 13.0185 13.0185 5.9396
angles: 90.00 90.00 90.00
Space group I4/mcm (No. 140)
Symmetry-distinct sites (fractional):
K: 0.0881 0.2226 0.0000
Mg: 0.0000 0.5000 0.2500
Au: 0.0000 0.0000 0.2500
Au: 0.1298 0.3702 0.5000

## Properties
The calculation puts the formation energy at -276.5 meV per atom. As for the calculated volume: 1006.65 Å³/cell. The calculation puts the calculated density at 5.09 g/cm³. Its total DFT energy (no corrections) is -2.254 eV/atom. As for the density of states at the Fermi level: 17.670 states/eV per cell.

---

No. 3
Compound: KMgAu
Source: Alexandria via LeMat-Bulk
Functional: PBE-GGA
Structure: optimized geometry

abc: 3.6879 3.6879 12.7813
angles: 90.00 90.00 90.00
Space group I4mm (No. 107)
Symmetry-distinct sites (fractional):
K: 0.0000 0.0000 0.0000
Mg: 0.0000 0.0000 0.7322
Au: 0.0000 0.0000 0.3018

## Properties
The calculation puts the formation energy at -249.2 meV per atom. As for the calculated volume: 173.84 Å³/cell. The calculation puts the calculated density at 4.97 g/cm³. Its total DFT energy (no corrections) is -2.239 eV/atom. As for the density of states at the Fermi level: 2.796 states/eV per cell.

---

No. 4
Compound: KMg2Au
Source: Alexandria via LeMat-Bulk
Functional: PBE-GGA
Structure: optimized geometry

abc: 3.3167 3.5671 9.2363
angles: 90.00 90.45 90.00
Space group P2/m (No. 10)
Symmetry-distinct sites (fractional):
K: 0.0000 0.0000 0.0000
Mg: 0.4982 0.5000 0.3338
Au: 0.0000 0.0000 0.5000

## Properties
The calculation puts the formation energy at -167.6 meV per atom. As for the calculated volume: 109.27 Å³/cell. The calculation puts the calculated density at 4.33 g/cm³. Its total DFT energy (no corrections) is -2.059 eV/atom. As for the density of states at the Fermi level: 1.160 states/eV per cell.

---

No. 5
Compound: KMg2Au
Source: Alexandria via LeMat-Bulk
Functional: PBE-GGA
Structure: optimized geometry

abc: 5.0335 5.0335 8.1922
angles: 90.00 90.00 90.00
Space group I-4m2 (No. 119)
Symmetry-distinct sites (fractional):
K: 0.0000 0.0000 0.0000
Mg: 0.0000 0.0000 0.5000
Mg: 0.0000 0.5000 0.7500
Au: 0.0000 0.5000 0.2500

## Properties
The calculation puts the formation energy at 40.2 meV per atom. As for the calculated volume: 207.56 Å³/cell. The calculation puts the calculated density at 4.55 g/cm³. Its total DFT energy (no corrections) is -1.851 eV/atom. As for the density of states at the Fermi level: 3.263 states/eV per cell.

---

No. 6
Compound: K2MgAu
Source: Alexandria via LeMat-Bulk
Functional: PBE-GGA
Structure: optimized geometry

abc: 3.8312 3.8312 10.1813
angles: 90.00 90.00 90.00
Space group P4mm (No. 99)
Symmetry-distinct sites (fractional):
K: 0.0000 0.0000 0.0000
K: 0.5000 0.5000 0.4045
Mg: 0.0000 0.0000 0.6776
Au: 0.5000 0.5000 0.7469

## Properties
The calculation puts the formation energy at -157.2 meV per atom. As for the calculated volume: 149.44 Å³/cell. The calculation puts the calculated density at 3.33 g/cm³. Its total DFT energy (no corrections) is -1.924 eV/atom. As for the density of states at the Fermi level: 2.798 states/eV per cell.

---

No. 7
Compound: K2Mg2Au15
Source: Alexandria via LeMat-Bulk
Functional: PBE-GGA
Structure: optimized geometry

abc: 9.7171 9.7171 14.5103
angles: 90.00 90.00 120.00
Space group R-3m (No. 166, hexagonal axes)
Symmetry-distinct sites (fractional):
K: 0.0000 0.0000 0.1490
Mg: 0.0000 0.0000 0.3969
Au: 0.0000 0.2955 0.5000
Au: 0.0000 0.5000 0.0000
Au: 0.0037 0.5018 0.3482

## Properties
The calculation puts the formation energy at -224.9 meV per atom. As for the calculated volume: 1186.53 Å³/cell. The calculation puts the calculated density at 12.94 g/cm³. Its total DFT energy (no corrections) is -3.096 eV/atom. As for the density of states at the Fermi level: 13.205 states/eV per cell.

---

No. 8
Compound: K3MgAu
Source: Alexandria via LeMat-Bulk
Functional: PBE-GGA
Structure: optimized geometry

abc: 6.4029 6.4029 6.4029
angles: 90.00 90.00 90.00
Space group Pm-3m (No. 221)
Symmetry-distinct sites (fractional):
K: 0.0000 0.0000 0.5000
Mg: 0.5000 0.5000 0.5000
Au: 0.0000 0.0000 0.0000

## Properties
The calculation puts the formation energy at 70.5 meV per atom. As for the calculated volume: 262.50 Å³/cell. The calculation puts the calculated density at 2.14 g/cm³. Its total DFT energy (no corrections) is -1.562 eV/atom. As for the density of states at the Fermi level: 5.881 states/eV per cell.

---

Question: Which formula does entry 5 have?
Answer: KMg2Au

---

Question: Which of these has the lowest total DFT energy (no corrections)?
Answer: K2Mg2Au15

---

Question: Which value of calculated volume does entry 5 give?
Answer: 207.56 Å³/cell